Compound: PaCdRhAu
Source: the Alexandria database
Functional: PBE
Structure: relaxed

```
PaCdRhAu
1.0
6.8797 0.0000 0.0000
0.0000 6.8797 0.0000
0.0000 0.0000 6.8797
Pa Cd Rh Au
4 4 4 4
direct
0.0000 0.0000 0.0000 Pa
0.0000 0.5000 0.5000 Pa
0.5000 0.0000 0.5000 Pa
0.5000 0.5000 0.0000 Pa
0.0000 0.0000 0.5000 Cd
0.0000 0.5000 0.0000 Cd
0.5000 0.0000 0.0000 Cd
0.5000 0.5000 0.5000 Cd
0.2500 0.2500 0.2500 Rh
0.2500 0.7500 0.7500 Rh
0.7500 0.2500 0.7500 Rh
0.7500 0.7500 0.2500 Rh
0.2500 0.2500 0.7500 Au
0.2500 0.7500 0.2500 Au
0.7500 0.2500 0.2500 Au
0.7500 0.7500 0.7500 Au
```

Computed properties:
ΔH_f (0 K): -0.381 eV per atom
symmetry: F-43m (216)